Material: ThSc2BiSb2
Method: DFT, PBE-GGA
State: optimized geometry

Computed properties:
symmetry	P-3m1
total magnetic moment	0.00	Bohr magnetons per cell
DOS(E_F)	2.19	states/eV/f.u.
DFT total energy	-6.199	eV/atom

Unit cell a=4.331 b=4.331 c=10.494 alpha=90.00 beta=90.00 gamma=120.00
Fractional positions:
Sb 0.333 0.667 0.686
Sc 0.667 0.333 0.838
Th 0.000 0.000 0.500
Sb 0.667 0.333 0.314
Sc 0.333 0.667 0.162
Bi 0.000 0.000 0.000